{"formula": "CsTaBe", "functional": "PBE-GGA", "state": "relaxed", "formation_energy_kcal_per_mol_atoms": 36.5, "sg": "P-6m2 (187)", "de_polymorph_ev_per_fu": 3.324, "lattice_angstrom": [[-2.946, -0.336, 2.783], [1.971, -3.317, -1.285], [4.357, 0.766, 4.705]], "species": ["Cs", "Be", "Ta"], "fractional_positions": [[0.667, 0.333, 0.500], [0.000, 0.000, 0.000], [0.333, 0.667, 0.000]]}


{"formula": "Rb3Np3SnTe8", "functional": "PBE-GGA", "state": "relaxed", "sg": "R-3m (166)", "e_form_raw_ev_per_atom": -0.764, "lattice_angstrom": [[9.107, -0.002, 0.001], [-4.555, 7.889, -0.032], [0.001, -5.226, 8.545]], "species": ["Rb", "Rb", "Rb", "Np", "Np", "Np", "Sn", "Te", "Te", "Te", "Te", "Te", "Te", "Te", "Te"], "fractional_positions": [[0.000, 0.000, 0.000], [0.000, 0.500, 0.000], [0.500, 0.500, 0.000], [0.500, 0.000, 0.500], [0.500, 0.500, 0.500], [0.000, 0.500, 0.500], [0.000, 0.000, 0.500], [0.267, 0.534, 0.301], [0.733, 0.466, 0.699], [0.761, 0.522, 0.304], [0.239, 0.478, 0.696], [0.761, 0.042, 0.304], [0.239, 0.958, 0.696], [0.282, 0.043, 0.304], [0.718, 0.957, 0.696]]}


{"formula": "Pu5Ge5Au2", "functional": "PBE-GGA", "state": "relaxed", "formation_energy_kcal_per_mol_atoms": -9.3, "sg": "C2/m (12)", "lattice_angstrom": [[0.456, 2.739, 3.614], [-5.518, -2.268, 5.288], [3.873, -4.341, 5.675]], "species": ["Pu", "Pu", "Pu", "Pu", "Pu", "Ge", "Ge", "Ge", "Ge", "Ge", "Au", "Au"], "fractional_positions": [[0.500, 0.500, 0.500], [0.395, 0.280, 0.930], [0.316, 0.016, 0.351], [0.684, 0.984, 0.649], [0.605, 0.720, 0.070], [0.947, 0.764, 0.342], [0.242, 0.734, 0.783], [0.758, 0.266, 0.217], [0.053, 0.236, 0.658], [0.000, 0.000, 0.000], [0.848, 0.554, 0.749], [0.152, 0.446, 0.251]]}


{"formula": "LiCu2As2", "functional": "PBE-GGA", "state": "relaxed", "formation_energy_kcal_per_mol_atoms": -4.8, "sg": "C2/m (12)", "lattice_angstrom": [[4.026, 0.026, -0.845], [-0.965, 3.909, -0.845], [-0.410, -0.527, 5.587]], "species": ["Li", "Cu", "Cu", "As", "As"], "fractional_positions": [[0.000, 0.000, 0.000], [0.208, 0.792, 0.500], [0.792, 0.208, 0.500], [0.578, 0.578, 0.242], [0.422, 0.422, 0.758]]}


{"formula": "Ta3CdPd", "functional": "PBE-GGA", "state": "relaxed", "formation_energy_kcal_per_mol_atoms": 30.4, "sg": "Pm-3m (221)", "de_polymorph_ev_per_fu": 0.000, "lattice_angstrom": [[4.855, 0.000, 0.000], [0.000, 4.855, 0.000], [0.000, 0.000, 4.855]], "species": ["Cd", "Pd", "Ta", "Ta", "Ta"], "fractional_positions": [[0.500, 0.500, 0.500], [0.000, 0.000, 0.000], [0.000, 0.500, 0.000], [0.000, 0.000, 0.500], [0.500, 0.000, 0.000]]}


{"formula": "HgC3", "functional": "PBE-GGA", "state": "relaxed", "formation_energy_kcal_per_mol_atoms": 46.7, "sg": "Immm (71)", "de_polymorph_ev_per_fu": 5.147, "lattice_angstrom": [[-3.742, -4.284, -0.128], [3.977, -3.525, 2.031], [-3.893, 4.127, 0.425]], "species": ["C", "C", "C", "Hg"], "fractional_positions": [[0.856, 0.856, 0.000], [0.750, 0.250, 0.500], [0.644, 0.644, 0.000], [0.250, 0.750, 0.500]]}


The following E_tot values (in eV per atom) correspond, in order, to the records above: -3.897 -5.488 -8.845 -4.089 -7.015 -4.966.